## DyThScTi (PBE)

Data for a relaxed DyThScTi crystal.

abc: 5.269 5.269 5.269
angles: 60.00 60.00 60.00
Each line ends with the local moment (μB).
Fractional positions:
Sc1 0.750 0.750 0.750  -0.13
Ti1 0.250 0.250 0.250  0.74
Th1 0.500 0.500 0.500  0.06
Dy1 0.000 0.000 0.000  0.04

Uncorrected energy: -0.236 hartree per atom
SG: F-43m
Energy of formation: 14.6 kJ/mol of atoms

## DyThScTl (PBE)

Data for a relaxed DyThScTl crystal.

abc: 5.361 5.361 5.361
angles: 60.00 60.00 60.00
Each line ends with the local moment (μB).
Fractional positions:
Sc1 0.000 0.000 0.000  0.19
Tl1 0.250 0.250 0.250  0.00
Th1 0.750 0.750 0.750  0.35
Dy1 0.500 0.500 0.500  0.18

Uncorrected energy: -0.188 hartree per atom
SG: F-43m
Energy of formation: 6.5 kJ/mol of atoms

## Dy6Tm2ThSc3 (PBE)

Data for a relaxed Dy6Tm2ThSc3 crystal.

abc: 6.030 6.030 11.438
angles: 95.03 95.03 119.98
Fractional positions:
Dy1 0.914 0.583 0.742
Dy2 0.755 0.755 0.258
Dy3 0.086 0.417 0.258
Dy4 0.583 0.914 0.742
Dy5 0.245 0.245 0.742
Dy6 0.417 0.086 0.258
Tm1 0.333 0.667 0.000
Tm2 0.667 0.333 0.000
Th1 0.000 0.000 0.000
Sc1 0.167 0.833 0.500
Sc2 0.833 0.167 0.500
Sc3 0.500 0.500 0.500

Uncorrected energy: -0.191 hartree per atom
SG: C2/m
Energy of formation: 5.0 kJ/mol of atoms

## Dy3Tm6ThSc2 (PBE)

Data for a relaxed Dy3Tm6ThSc2 crystal.

abc: 5.998 5.998 11.562
angles: 94.96 94.96 119.99
Fractional positions:
Dy1 0.168 0.832 0.500
Dy2 0.832 0.168 0.500
Dy3 0.500 0.500 0.500
Tm1 0.917 0.585 0.754
Tm2 0.750 0.750 0.246
Tm3 0.083 0.415 0.246
Tm4 0.585 0.917 0.754
Tm5 0.250 0.250 0.754
Tm6 0.415 0.083 0.246
Th1 0.000 0.000 0.000
Sc1 0.333 0.667 0.000
Sc2 0.667 0.333 0.000

Uncorrected energy: -0.185 hartree per atom
SG: C2/m
Energy of formation: 3.4 kJ/mol of atoms

## DyTm3ThSc (PBE)

Data for a relaxed DyTm3ThSc crystal.

abc: 4.916 7.721 9.950
angles: 90.00 90.00 108.56
Fractional positions:
Dy1 0.000 0.000 0.500
Dy2 0.000 0.000 0.000
Tm1 0.666 0.332 0.501
Tm2 0.334 0.668 0.499
Tm3 0.334 0.668 0.001
Tm4 0.666 0.332 0.999
Tm5 0.169 0.338 0.750
Tm6 0.831 0.662 0.250
Th1 0.498 0.995 0.750
Th2 0.502 0.005 0.250
Sc1 0.834 0.669 0.750
Sc2 0.166 0.331 0.250

Uncorrected energy: -0.193 hartree per atom
SG: Cmcm
Energy of formation: 4.7 kJ/mol of atoms

## Dy2Tm5ThSc (PBE)

Data for a relaxed Dy2Tm5ThSc crystal.

abc: 5.571 11.129 9.349
angles: 90.00 90.00 104.50
Fractional positions:
Dy1 0.885 0.770 0.818
Dy2 0.135 0.269 0.709
Dy3 0.115 0.230 0.318
Dy4 0.865 0.731 0.209
Tm1 0.394 0.787 0.044
Tm2 0.732 0.464 0.829
Tm3 0.472 0.944 0.748
Tm4 0.304 0.608 0.720
Tm5 0.988 0.976 0.514
Tm6 0.606 0.213 0.544
Tm7 0.268 0.536 0.329
Tm8 0.528 0.056 0.248
Tm9 0.696 0.392 0.220
Tm10 0.012 0.024 0.014
Th1 0.599 0.199 0.928
Th2 0.401 0.801 0.428
Sc1 0.807 0.614 0.515
Sc2 0.193 0.386 0.015

Uncorrected energy: -0.179 hartree per atom
SG: Cmc2_1
Energy of formation: 16.9 kJ/mol of atoms

## DyTmThSc3 (PBE)

Data for a relaxed DyTmThSc3 crystal.

abc: 3.434 10.123 10.091
angles: 108.29 90.00 90.00
Fractional positions:
Dy1 0.250 0.131 0.287
Dy2 0.750 0.869 0.713
Tm1 0.250 0.128 0.623
Tm2 0.750 0.872 0.377
Th1 0.250 0.629 0.126
Th2 0.750 0.371 0.874
Sc1 0.750 0.872 0.037
Sc2 0.250 0.128 0.963
Sc3 0.250 0.619 0.458
Sc4 0.750 0.381 0.542
Sc5 0.750 0.383 0.209
Sc6 0.250 0.617 0.791

Uncorrected energy: -0.216 hartree per atom
SG: P2_1/m
Energy of formation: 4.6 kJ/mol of atoms

## Dy6Tm2Th3Sc (PBE)

Data for a relaxed Dy6Tm2Th3Sc crystal.

abc: 6.120 6.120 11.630
angles: 95.07 95.07 119.97
Fractional positions:
Dy1 0.918 0.587 0.750
Dy2 0.751 0.751 0.250
Dy3 0.082 0.413 0.250
Dy4 0.587 0.918 0.750
Dy5 0.249 0.249 0.750
Dy6 0.413 0.082 0.250
Tm1 0.334 0.666 0.000
Tm2 0.666 0.334 0.000
Th1 0.167 0.833 0.500
Th2 0.833 0.167 0.500
Th3 0.500 0.500 0.500
Sc1 0.000 0.000 0.000

Uncorrected energy: -0.198 hartree per atom
SG: C2/m
Energy of formation: 3.6 kJ/mol of atoms

## Dy5TmThSc2 (PBE)

Data for a relaxed Dy5TmThSc2 crystal.

abc: 5.588 10.979 9.377
angles: 90.00 90.00 104.74
Fractional positions:
Dy1 0.390 0.780 0.044
Dy2 0.734 0.468 0.832
Dy3 0.469 0.938 0.746
Dy4 0.305 0.610 0.714
Dy5 0.990 0.980 0.512
Dy6 0.610 0.220 0.544
Dy7 0.266 0.532 0.332
Dy8 0.531 0.062 0.246
Dy9 0.695 0.390 0.214
Dy10 0.010 0.020 0.012
Tm1 0.597 0.194 0.922
Tm2 0.403 0.806 0.422
Th1 0.816 0.632 0.522
Th2 0.184 0.368 0.022
Sc1 0.887 0.774 0.822
Sc2 0.134 0.268 0.708
Sc3 0.113 0.226 0.322
Sc4 0.866 0.732 0.208

Uncorrected energy: -0.188 hartree per atom
SG: Cmc2_1
Energy of formation: 16.7 kJ/mol of atoms

## Dy6Tm2ThSc (PBE)

Data for a relaxed Dy6Tm2ThSc crystal.

abc: 8.630 9.034 9.034
angles: 117.98 90.63 90.63
Fractional positions:
Dy1 0.054 0.139 0.794
Dy2 0.446 0.206 0.861
Dy3 0.946 0.861 0.206
Dy4 0.554 0.794 0.139
Dy5 0.288 0.039 0.451
Dy6 0.212 0.549 0.961
Dy7 0.712 0.961 0.549
Dy8 0.788 0.451 0.039
Dy9 0.092 0.735 0.481
Dy10 0.408 0.519 0.265
Dy11 0.908 0.265 0.519
Dy12 0.592 0.481 0.735
Tm1 0.441 0.789 0.675
Tm2 0.059 0.325 0.211
Tm3 0.559 0.211 0.325
Tm4 0.941 0.675 0.789
Th1 0.250 0.968 0.032
Th2 0.750 0.032 0.968
Sc1 0.250 0.440 0.560
Sc2 0.750 0.560 0.440

Uncorrected energy: -0.179 hartree per atom
SG: C2/c
Energy of formation: 14.2 kJ/mol of atoms

## Dy2TmThSc4 (PBE)

Data for a relaxed Dy2TmThSc4 crystal.

abc: 4.924 4.929 10.394
angles: 61.71 90.00 90.00
Fractional positions:
Dy1 0.000 0.000 0.000
Dy2 0.500 0.000 0.500
Tm1 0.500 0.500 0.000
Th1 0.000 0.500 0.500
Sc1 0.000 0.752 0.748
Sc2 0.000 0.248 0.252
Sc3 0.500 0.748 0.252
Sc4 0.500 0.252 0.748

Uncorrected energy: -0.212 hartree per atom
SG: P4/mmm
Energy of formation: 4.2 kJ/mol of atoms

## DyTm2ThSc4 (PBE)

Data for a relaxed DyTm2ThSc4 crystal.

abc: 4.910 4.914 10.390
angles: 61.79 90.00 90.00
Fractional positions:
Dy1 0.500 0.500 0.000
Tm1 0.000 0.000 0.000
Tm2 0.500 0.000 0.500
Th1 0.000 0.500 0.500
Sc1 0.000 0.752 0.748
Sc2 0.000 0.248 0.252
Sc3 0.500 0.748 0.252
Sc4 0.500 0.252 0.748

Uncorrected energy: -0.211 hartree per atom
SG: P4/mmm
Energy of formation: 3.9 kJ/mol of atoms